The following is a DFT calculation (PBE) of a geometry-optimized CsTiAuF2 structure.

Properties
The value obtained for the uncorrected formation energy is 12.8 kJ per mole of atoms.

Structure (CIF):
```
data_CsTiAuF2
_chemical_formula_sum 'Cs1 Ti1 Au1 F2'
_cell_length_a 4.833
_cell_length_b 4.833
_cell_length_c 5.960
_cell_angle_alpha 90.00
_cell_angle_beta 90.00
_cell_angle_gamma 90.00
_space_group_name_H-M_alt 'P 1'
_space_group_IT_number 1
_space_group_name_Hall 'P 1'
loop_
_atom_site_label
_atom_site_type_symbol
_atom_site_fract_x
_atom_site_fract_y
_atom_site_fract_z
Cs1 Cs 0.000 0.000 0.000
Ti1 Ti 0.500 0.500 0.000
Au1 Au 0.000 0.000 0.500
F1 F 0.000 0.500 0.500
F2 F 0.500 0.000 0.500
```



The following is a DFT calculation (PBE) of a geometry-optimized ThAsF structure.

Properties
The value obtained for the uncorrected formation energy is -186.6 kJ per mole of atoms. Its energy above the most stable polymorph in this dataset is 0.467 eV per atom.

Structure (CIF):
```
data_ThAsF
_chemical_formula_sum 'Th1 As1 F1'
_cell_length_a 5.032
_cell_length_b 5.032
_cell_length_c 5.032
_cell_angle_alpha 131.79
_cell_angle_beta 131.79
_cell_angle_gamma 70.56
_space_group_name_H-M_alt 'P 1'
_space_group_IT_number 1
_space_group_name_Hall 'P 1'
loop_
_atom_site_label
_atom_site_type_symbol
_atom_site_fract_x
_atom_site_fract_y
_atom_site_fract_z
Th1 Th 0.000 0.000 0.000
As1 As 0.391 0.391 0.000
F1 F 0.738 0.738 0.000
```



The following is a DFT calculation (PBE) of a geometry-optimized AcPmBeN2 structure.

Properties
The value obtained for the uncorrected formation energy is -74.5 kJ per mole of atoms.

Structure (CIF):
```
data_AcPmBeN2
_chemical_formula_sum 'Ac2 Pm2 Be2 N4'
_cell_length_a 5.081
_cell_length_b 5.500
_cell_length_c 7.023
_cell_angle_alpha 90.00
_cell_angle_beta 90.00
_cell_angle_gamma 90.00
_space_group_name_H-M_alt 'P 1'
_space_group_IT_number 1
_space_group_name_Hall 'P 1'
loop_
_atom_site_label
_atom_site_type_symbol
_atom_site_fract_x
_atom_site_fract_y
_atom_site_fract_z
Ac1 Ac 0.000 0.000 0.250
Ac2 Ac 0.000 0.000 0.750
Pm1 Pm 0.500 0.500 0.250
Pm2 Pm 0.500 0.500 0.750
Be1 Be 0.000 0.500 0.000
Be2 Be 0.000 0.500 0.500
N1 N 0.218 0.302 0.000
N2 N 0.218 0.698 0.500
N3 N 0.782 0.302 0.500
N4 N 0.782 0.698 0.000
```



The following is a DFT calculation (PBE) of a geometry-optimized TiFe2Re2 structure.

Properties
Its energy above the most stable polymorph in this dataset is 0.175 eV per atom. The formation energy comes out at 192 meV per atom.

Structure (CIF):
```
data_TiFe2Re2
_chemical_formula_sum 'Ti1 Fe2 Re2'
_cell_length_a 5.695
_cell_length_b 5.695
_cell_length_c 5.695
_cell_angle_alpha 140.64
_cell_angle_beta 140.64
_cell_angle_gamma 56.88
_space_group_name_H-M_alt 'P 1'
_space_group_IT_number 1
_space_group_name_Hall 'P 1'
loop_
_atom_site_label
_atom_site_type_symbol
_atom_site_fract_x
_atom_site_fract_y
_atom_site_fract_z
Ti1 Ti 0.000 0.000 0.000
Fe1 Fe 0.398 0.398 0.000
Fe2 Fe 0.602 0.602 0.000
Re1 Re 0.250 0.750 0.500
Re2 Re 0.750 0.250 0.500
```



The following is a DFT calculation (PBE) of a geometry-optimized CeHoIn3 structure.

Properties
The formation energy comes out at 364 meV per atom.

Structure (CIF):
```
data_CeHoIn3
_chemical_formula_sum 'Ce2 Ho2 In6'
_cell_length_a 14.114
_cell_length_b 14.114
_cell_length_c 5.183
_cell_angle_alpha 90.00
_cell_angle_beta 90.00
_cell_angle_gamma 156.52
_space_group_name_H-M_alt 'P 1'
_space_group_IT_number 1
_space_group_name_Hall 'P 1'
loop_
_atom_site_label
_atom_site_type_symbol
_atom_site_fract_x
_atom_site_fract_y
_atom_site_fract_z
Ce1 Ce 0.110 0.890 0.750
Ce2 Ce 0.890 0.110 0.250
Ho1 Ho 0.226 0.774 0.750
Ho2 Ho 0.774 0.226 0.250
In1 In 0.000 0.000 0.000
In2 In 0.000 0.000 0.500
In3 In 0.079 0.420 0.750
In4 In 0.420 0.079 0.250
In5 In 0.580 0.921 0.750
In6 In 0.921 0.580 0.250
```



The following is a DFT calculation (PBE) of a geometry-optimized Ho6Al7Cu16 structure.

Properties
The formation energy comes out at -377 meV per atom.

Structure (CIF):
```
data_Ho6Al7Cu16
_chemical_formula_sum 'Ho6 Al7 Cu16'
_cell_length_a 8.699
_cell_length_b 8.699
_cell_length_c 8.699
_cell_angle_alpha 60.00
_cell_angle_beta 60.00
_cell_angle_gamma 60.00
_space_group_name_H-M_alt 'P 1'
_space_group_IT_number 1
_space_group_name_Hall 'P 1'
loop_
_atom_site_label
_atom_site_type_symbol
_atom_site_fract_x
_atom_site_fract_y
_atom_site_fract_z
Ho1 Ho 0.212 0.212 0.788
Ho2 Ho 0.212 0.788 0.212
Ho3 Ho 0.212 0.788 0.788
Ho4 Ho 0.788 0.212 0.212
Ho5 Ho 0.788 0.212 0.788
Ho6 Ho 0.788 0.788 0.212
Al1 Al 0.000 0.000 0.500
Al2 Al 0.000 0.500 0.000
Al3 Al 0.000 0.500 0.500
Al4 Al 0.500 0.000 0.000
Al5 Al 0.500 0.000 0.500
Al6 Al 0.500 0.500 0.000
Al7 Al 0.500 0.500 0.500
Cu1 Cu 0.136 0.621 0.621
Cu2 Cu 0.173 0.173 0.173
Cu3 Cu 0.173 0.173 0.481
Cu4 Cu 0.173 0.481 0.173
Cu5 Cu 0.379 0.379 0.379
Cu6 Cu 0.379 0.379 0.864
Cu7 Cu 0.379 0.864 0.379
Cu8 Cu 0.481 0.173 0.173
Cu9 Cu 0.519 0.827 0.827
Cu10 Cu 0.621 0.136 0.621
Cu11 Cu 0.621 0.621 0.136
Cu12 Cu 0.621 0.621 0.621
Cu13 Cu 0.827 0.519 0.827
Cu14 Cu 0.827 0.827 0.519
Cu15 Cu 0.827 0.827 0.827
Cu16 Cu 0.864 0.379 0.379
```



The following is a DFT calculation (PBE) of a geometry-optimized TiSiPb structure.

Properties
The value obtained for the uncorrected formation energy is -23.3 kJ per mole of atoms. Its energy above the most stable polymorph in this dataset is 0.038 eV per atom.

Structure (CIF):
```
data_TiSiPb
_chemical_formula_sum 'Ti2 Si2 Pb2'
_cell_length_a 3.303
_cell_length_b 3.713
_cell_length_c 10.786
_cell_angle_alpha 90.00
_cell_angle_beta 90.00
_cell_angle_gamma 90.00
_space_group_name_H-M_alt 'P 1'
_space_group_IT_number 1
_space_group_name_Hall 'P 1'
loop_
_atom_site_label
_atom_site_type_symbol
_atom_site_fract_x
_atom_site_fract_y
_atom_site_fract_z
Ti1 Ti 0.250 0.250 0.084
Ti2 Ti 0.750 0.750 0.916
Si1 Si 0.250 0.250 0.846
Si2 Si 0.750 0.750 0.154
Pb1 Pb 0.250 0.750 0.645
Pb2 Pb 0.750 0.250 0.355
```



The following is a DFT calculation (PBE) of a geometry-optimized KCaTe2 structure.

Properties
The value obtained for the uncorrected formation energy is -103.3 kJ per mole of atoms.

Structure (CIF):
```
data_KCaTe2
_chemical_formula_sum 'K1 Ca1 Te2'
_cell_length_a 9.422
_cell_length_b 9.422
_cell_length_c 9.422
_cell_angle_alpha 157.42
_cell_angle_beta 153.07
_cell_angle_gamma 35.42
_space_group_name_H-M_alt 'P 1'
_space_group_IT_number 1
_space_group_name_Hall 'P 1'
loop_
_atom_site_label
_atom_site_type_symbol
_atom_site_fract_x
_atom_site_fract_y
_atom_site_fract_z
K1 K 0.000 0.000 0.000
Ca1 Ca 0.756 0.256 0.500
Te1 Te 0.170 0.670 0.500
Te2 Te 0.385 0.385 0.000
```



The following is a DFT calculation (PBE) of a geometry-optimized Ce3CdGe5 structure.

Properties
The formation energy comes out at -524 meV per atom.

Structure (CIF):
```
data_Ce3CdGe5
_chemical_formula_sum 'Ce6 Cd2 Ge10'
_cell_length_a 8.703
_cell_length_b 8.703
_cell_length_c 6.068
_cell_angle_alpha 90.00
_cell_angle_beta 90.00
_cell_angle_gamma 120.00
_space_group_name_H-M_alt 'P 1'
_space_group_IT_number 1
_space_group_name_Hall 'P 1'
loop_
_atom_site_label
_atom_site_type_symbol
_atom_site_fract_x
_atom_site_fract_y
_atom_site_fract_z
Ce1 Ce 0.000 0.374 0.250
Ce2 Ce 0.000 0.626 0.750
Ce3 Ce 0.374 0.000 0.250
Ce4 Ce 0.374 0.374 0.750
Ce5 Ce 0.626 0.000 0.750
Ce6 Ce 0.626 0.626 0.250
Cd1 Cd 0.000 0.000 0.000
Cd2 Cd 0.000 0.000 0.500
Ge1 Ge 0.000 0.290 0.750
Ge2 Ge 0.000 0.710 0.250
Ge3 Ge 0.290 0.000 0.750
Ge4 Ge 0.290 0.290 0.250
Ge5 Ge 0.333 0.667 0.000
Ge6 Ge 0.333 0.667 0.500
Ge7 Ge 0.667 0.333 0.000
Ge8 Ge 0.667 0.333 0.500
Ge9 Ge 0.710 0.000 0.250
Ge10 Ge 0.710 0.710 0.750
```



The following is a DFT calculation (PBE) of a geometry-optimized Sc2AgS structure.

Properties
The value obtained for the uncorrected formation energy is -62.3 kJ per mole of atoms.

Structure (CIF):
```
data_Sc2AgS
_chemical_formula_sum 'Sc4 Ag2 S2'
_cell_length_a 6.074
_cell_length_b 6.074
_cell_length_c 6.074
_cell_angle_alpha 109.03
_cell_angle_beta 109.03
_cell_angle_gamma 110.36
_space_group_name_H-M_alt 'P 1'
_space_group_IT_number 1
_space_group_name_Hall 'P 1'
loop_
_atom_site_label
_atom_site_type_symbol
_atom_site_fract_x
_atom_site_fract_y
_atom_site_fract_z
Sc1 Sc 0.095 0.625 0.970
Sc2 Sc 0.375 0.345 0.470
Sc3 Sc 0.655 0.125 0.030
Sc4 Sc 0.875 0.905 0.530
Ag1 Ag 0.250 0.750 0.500
Ag2 Ag 0.500 0.500 0.000
S1 S 0.000 0.000 0.000
S2 S 0.750 0.250 0.500
```



The following is a DFT calculation (PBE) of a geometry-optimized MnAgI3 structure.

Properties
The value obtained for the uncorrected formation energy is 38.4 kJ per mole of atoms. Its energy above the most stable polymorph in this dataset is 0.731 eV per atom.

Structure (CIF):
```
data_MnAgI3
_chemical_formula_sum 'Mn1 Ag1 I3'
_cell_length_a 5.704
_cell_length_b 5.704
_cell_length_c 5.704
_cell_angle_alpha 90.00
_cell_angle_beta 90.00
_cell_angle_gamma 90.00
_space_group_name_H-M_alt 'P 1'
_space_group_IT_number 1
_space_group_name_Hall 'P 1'
loop_
_atom_site_label
_atom_site_type_symbol
_atom_site_fract_x
_atom_site_fract_y
_atom_site_fract_z
Mn1 Mn 0.000 0.000 0.000
Ag1 Ag 0.500 0.500 0.500
I1 I 0.000 0.500 0.500
I2 I 0.500 0.000 0.500
I3 I 0.500 0.500 0.000
```



The following is a DFT calculation (PBE) of a geometry-optimized Tl2GaNi2 structure.

Properties
The formation energy comes out at 153 meV per atom.

Structure (CIF):
```
data_Tl2GaNi2
_chemical_formula_sum 'Tl4 Ga2 Ni4'
_cell_length_a 6.618
_cell_length_b 6.618
_cell_length_c 4.051
_cell_angle_alpha 90.00
_cell_angle_beta 90.00
_cell_angle_gamma 90.00
_space_group_name_H-M_alt 'P 1'
_space_group_IT_number 1
_space_group_name_Hall 'P 1'
loop_
_atom_site_label
_atom_site_type_symbol
_atom_site_fract_x
_atom_site_fract_y
_atom_site_fract_z
Tl1 Tl 0.165 0.335 0.000
Tl2 Tl 0.335 0.835 0.000
Tl3 Tl 0.665 0.165 0.000
Tl4 Tl 0.835 0.665 0.000
Ga1 Ga 0.000 0.000 0.500
Ga2 Ga 0.500 0.500 0.500
Ni1 Ni 0.145 0.645 0.500
Ni2 Ni 0.355 0.145 0.500
Ni3 Ni 0.645 0.855 0.500
Ni4 Ni 0.855 0.355 0.500
```



Repeat the twelfth record exactly.
The following is a DFT calculation (PBE) of a geometry-optimized Tl2GaNi2 structure.

Properties
The formation energy comes out at 153 meV per atom.

Structure (CIF):
```
data_Tl2GaNi2
_chemical_formula_sum 'Tl4 Ga2 Ni4'
_cell_length_a 6.618
_cell_length_b 6.618
_cell_length_c 4.051
_cell_angle_alpha 90.00
_cell_angle_beta 90.00
_cell_angle_gamma 90.00
_space_group_name_H-M_alt 'P 1'
_space_group_IT_number 1
_space_group_name_Hall 'P 1'
loop_
_atom_site_label
_atom_site_type_symbol
_atom_site_fract_x
_atom_site_fract_y
_atom_site_fract_z
Tl1 Tl 0.165 0.335 0.000
Tl2 Tl 0.335 0.835 0.000
Tl3 Tl 0.665 0.165 0.000
Tl4 Tl 0.835 0.665 0.000
Ga1 Ga 0.000 0.000 0.500
Ga2 Ga 0.500 0.500 0.500
Ni1 Ni 0.145 0.645 0.500
Ni2 Ni 0.355 0.145 0.500
Ni3 Ni 0.645 0.855 0.500
Ni4 Ni 0.855 0.355 0.500
```